[1]
## NiAg2Os (SCAN)

Data for a PBEsol-optimized structure of NiAg2Os.

As for the formation energy from the elements: 0.784 eV/atom. For the total energy, the calculation gives -295.3 eV/cell. As for the theoretical density: 13.35 g cm⁻³. For the total moment, the calculation gives 2.40 μB per formula unit.

The structure belongs to space group I4/mmm (No. 139); the cell edges are 3.750, 3.750 and 8.219 Å and the angles 90.00°, 90.00° and 90.00°. The asymmetric unit holds Ni at (0.000, 0.000, 0.000), Ag at (0.000, 0.500, 0.250) and Os at (0.000, 0.000, 0.500).

=====

[2]
## AlAgMo2 (SCAN)

Data for a PBEsol-optimized structure of AlAgMo2.

As for the formation energy from the elements: 0.113 eV/atom. For the total energy, the calculation gives -216.9 eV/cell. As for the theoretical density: 8.86 g cm⁻³. For the total moment, the calculation gives 0.00 μB per formula unit.

The structure belongs to space group Immm (No. 71); the cell edges are 3.413, 4.043 and 8.873 Å and the angles 90.00°, 90.00° and 90.00°. The asymmetric unit holds Al at (0.000, 0.000, 0.000), Ag at (0.000, 0.000, 0.500) and Mo at (0.000, 0.500, 0.254).

=====

[3]
## Ba2ScCl (SCAN)

Data for a PBEsol-optimized structure of Ba2ScCl.

The value obtained for the energy relative to the elements, uncorrected is 0.33 kcal/mol of atoms. For the total energy, the calculation gives -405.0 eV/cell. As for the theoretical density: 4.23 g cm⁻³. For the total moment, the calculation gives 3.92 μB per formula unit.

The structure belongs to space group F-43m (No. 216); the cell edges are 8.228, 8.228 and 8.228 Å and the angles 90.00°, 90.00° and 90.00°. The asymmetric unit holds Ba at (0.000, 0.000, 0.000), Ba at (0.250, 0.250, 0.250), Sc at (0.250, 0.250, 0.750) and Cl at (0.000, 0.000, 0.500).

=====

[4]
## KTbCr2O8 (SCAN)

Data for a PBEsol-optimized structure of KTbCr2O8.

The value obtained for the energy relative to the elements, uncorrected is -56.86 kcal/mol of atoms. For the total energy, the calculation gives -685.2 eV/cell. As for the theoretical density: 4.07 g cm⁻³. For the total moment, the calculation gives 0.00 μB per formula unit.

The structure belongs to space group P2_12_12_1 (No. 19); the cell edges are 5.652, 9.161 and 13.559 Å and the angles 90.00°, 90.00° and 90.00°. The asymmetric unit holds K at (0.205, 0.105, 0.097), Tb at (0.219, 0.455, 0.642), Cr at (0.226, 0.319, 0.383), Cr at (0.231, 0.150, 0.840), O at (0.002, 0.660, 0.586), O at (0.012, 0.756, 0.890), O at (0.021, 0.194, 0.396), O at (0.030, 0.885, 0.407), O at (0.161, 0.010, 0.770), O at (0.189, 0.395, 0.273), O at (0.194, 0.444, 0.469) and O at (0.237, 0.696, 0.280).

=====

[5]
## BaTl2Hg (SCAN)

Data for a PBEsol-optimized structure of BaTl2Hg.

As for the formation energy from the elements: -0.372 eV/atom. For the total energy, the calculation gives -507.8 eV/cell. As for the theoretical density: 9.87 g cm⁻³. For the total moment, the calculation gives 0.00 μB per formula unit.

The structure belongs to space group Amm2 (No. 38); the cell edges are 4.793, 3.909 and 13.414 Å and the angles 90.00°, 90.00° and 90.00°. The asymmetric unit holds Ba at (0.000, 0.000, 0.000), Tl at (0.000, 0.000, 0.258), Tl at (0.500, 0.000, 0.674) and Hg at (0.500, 0.000, 0.390).

=====

[6]
## Cs3AlOs (SCAN)

Data for a PBEsol-optimized structure of Cs3AlOs.

As for the formation energy from the elements: 1.702 eV/atom. For the total energy, the calculation gives -184.6 eV/cell. As for the theoretical density: 3.24 g cm⁻³. For the total moment, the calculation gives 3.02 μB per formula unit.

The structure belongs to space group Pm-3m (No. 221); the cell edges are 6.811, 6.811 and 6.811 Å and the angles 90.00°, 90.00° and 90.00°. The asymmetric unit holds Cs at (0.000, 0.000, 0.500), Al at (0.000, 0.000, 0.000) and Os at (0.500, 0.500, 0.500).

=====

[7]
## KSr2Te (SCAN)

Data for a PBEsol-optimized structure of KSr2Te.

The value obtained for the energy relative to the elements, uncorrected is -9.66 kcal/mol of atoms. For the total energy, the calculation gives -183.6 eV/cell. As for the theoretical density: 3.37 g cm⁻³. For the total moment, the calculation gives 0.00 μB per formula unit.

The structure belongs to space group C2/m (No. 12); the cell edges are 7.720, 11.882 and 4.324 Å and the angles 90.00°, 121.97° and 90.00°. The asymmetric unit holds K at (0.000, 0.000, 0.000), Sr at (0.250, 0.250, 0.500) and Te at (0.000, 0.500, 0.000).

=====

[8]
## Te2Pb (SCAN)

Data for a PBEsol-optimized structure of Te2Pb.

The value obtained for the energy relative to the elements, uncorrected is -3.93 kcal/mol of atoms. For the total energy, the calculation gives -301.6 eV/cell. As for the theoretical density: 6.86 g cm⁻³. For the total moment, the calculation gives 0.00 μB per formula unit.

The structure belongs to space group Pnnm (No. 58); the cell edges are 6.039, 7.935 and 4.672 Å and the angles 90.00°, 90.00° and 90.00°. The asymmetric unit holds Te at (0.168, 0.118, 0.000) and Pb at (0.000, 0.500, 0.000).